Entry 1
Entry from Alexandria via LeMat-Bulk: a relaxed structure of NaSi3H (PBE).

The total magnetic moment comes out at 0.7 μB per cell. The value obtained for the density is 1.428 g/cm³.

Cell: 5.0122 5.0122 5.0122 Å, 90.00 90.00 90.00°
Closest atoms and distances in Å follow each position.
Space group Pm-3m (No. 221)
One atom of each set of equivalent atoms:
Na (0.0000, 0.0000, 0.0000)  6 Si 2.51
Si (0.0000, 0.0000, 0.5000)  2 Na 2.51
H (0.5000, 0.5000, 0.5000)  12 Si 3.54

***

Entry 2
Entry from Alexandria via LeMat-Bulk: a relaxed structure of NaSi3H (PBE).

The total magnetic moment comes out at 0.0 μB per cell. The value obtained for the density is 2.543 g/cm³.

Cell: 4.1348 4.1348 4.1348 Å, 90.00 90.00 90.00°
Closest atoms and distances in Å follow each position.
Space group Pm-3m (No. 221)
One atom of each set of equivalent atoms:
Na (0.0000, 0.0000, 0.0000)  12 Si 2.92
Si (0.0000, 0.5000, 0.5000)  2 H 2.07
H (0.5000, 0.5000, 0.5000)  6 Si 2.07

***

entry 2 is favored, and the nearest alternative lies 138.3 kJ/mol of atoms above it.

***

Entry 1
Entry from Alexandria via LeMat-Bulk: a relaxed structure of Na2SiH6 (PBE).

The total magnetic moment comes out at 0.0 μB per cell. The value obtained for the density is 1.593 g/cm³.

Cell: 8.4410 4.8802 4.0542 Å, 90.00 90.38 90.00°
Closest atoms and distances in Å follow each position.
Space group C2/m (No. 12)
One atom of each set of equivalent atoms:
Na (0.1669, 0.0000, 0.2728)  12 H 2.45-2.53
Si (0.0000, 0.5000, 0.0000)  6 H 1.61
H (0.0783, 0.2652, 0.7752)  1 Si 1.61
H (0.1567, 0.5000, 0.2278)  1 Si 1.61

***

Entry 2
Entry from Alexandria via LeMat-Bulk: a relaxed structure of Na2SiH6 (PBE).

The total magnetic moment comes out at 0.0 μB per cell. The value obtained for the density is 1.362 g/cm³.

Cell: 4.5961 4.5961 9.2468 Å, 90.00 90.00 90.00°
Closest atoms and distances in Å follow each position.
Space group P4_2/mnm (No. 136)
One atom of each set of equivalent atoms:
Na (0.0000, 0.0000, 0.1657)  6 H 2.16-2.26
Si (0.0000, 0.0000, 0.5000)  6 H 1.59-1.61
H (0.1725, 0.1725, 0.3751)  1 Si 1.61
H (0.2447, 0.7553, 0.5000)  1 Si 1.59

***

entry 1 is favored, and the nearest alternative lies 0.7 kJ/mol of atoms above it.

***

Entry 1
Entry from Alexandria via LeMat-Bulk: a relaxed structure of Na2SiH (PBE).

The total magnetic moment comes out at 6.4 μB per cell. The value obtained for the density is 1.506 g/cm³.

Cell: 6.9186 6.9186 6.9186 Å, 90.00 90.00 90.00°
Closest atoms and distances in Å follow each position.
Space group Fm-3m (No. 225)
One atom of each set of equivalent atoms:
Na (0.2500, 0.2500, 0.2500)  4 H 3.00, 4 Si 3.00
Si (0.0000, 0.0000, 0.0000)  8 Na 3.00
H (0.0000, 0.0000, 0.5000)  8 Na 3.00

***

Entry 2
Entry from Alexandria via LeMat-Bulk: a relaxed structure of Na2SiH (PBE).

The total magnetic moment comes out at 0.0 μB per cell. The value obtained for the density is 1.517 g/cm³.

Cell: 6.4511 6.4511 7.9000 Å, 90.00 90.00 90.00°
Closest atoms and distances in Å follow each position.
Space group I-42d (No. 122)
One atom of each set of equivalent atoms:
Na (0.1355, 0.7500, 0.1250)  2 H 2.08
Si (0.0000, 0.0000, 0.5000)  4 Na 3.02
H (0.0000, 0.0000, 0.0000)  4 Na 2.08

***

entry 2 is favored, and the nearest alternative lies 29.3 kJ/mol of atoms above it.

***

Entry 1
Entry from Alexandria via LeMat-Bulk: a relaxed structure of NaSi2H (PBE).

The total magnetic moment comes out at 0.0 μB per cell. The value obtained for the density is 2.150 g/cm³.

Cell: 6.2798 6.2798 6.2798 Å, 90.00 90.00 90.00°
Closest atoms and distances in Å follow each position.
Space group Fm-3m (No. 225)
One atom of each set of equivalent atoms:
Na (0.0000, 0.0000, 0.0000)  8 Si 2.72
Si (0.2500, 0.2500, 0.2500)  4 H 2.72, 4 Na 2.72
H (0.0000, 0.0000, 0.5000)  8 Si 2.72

***

Entry 2
Entry from Alexandria via LeMat-Bulk: a relaxed structure of NaSi2H (PBE).

The total magnetic moment comes out at 0.0 μB per cell. The value obtained for the density is 1.868 g/cm³.

Cell: 4.9803 4.9803 11.4909 Å, 90.00 90.00 90.00°
Closest atoms and distances in Å follow each position.
Space group I4_1/amd (No. 141, origin choice 2)
One atom of each set of equivalent atoms:
Na (0.0000, 0.2500, 0.3750)  8 Si 3.13
Si (0.0000, 0.0000, 0.0000)  2 H 1.90
H (0.0000, 0.2500, 0.8750)  4 Si 1.90

***

entry 2 is favored, and the nearest alternative lies 52.9 kJ/mol of atoms above it.